[1]
This record from Alexandria describes a geometry-optimized Sr8Hg2Pd structure. The functional is PBE-GGA.

The calculated density is 4.043 Mg/m³. The value obtained for the uncorrected energy is -2.056 eV/atom. As for the volume: 45.127 Å³ per atom.

It has space group C2/m (No. 12), with a = 13.9039 Å, b = 10.1349 Å, c = 7.4282 Å, α = 90.00°, β = 108.48° and γ = 90.00°. The asymmetric unit holds Sr at (0.0831, 0.0000, 0.2893), Sr at (0.1302, 0.5000, 0.2443), Sr at (0.1443, 0.2991, 0.7434), Hg at (0.1773, 0.0000, 0.9289) and Pd at (0.0000, 0.5000, 0.5000).

---

[2]
This record from Alexandria describes a geometry-optimized Sr2HgPd2 structure. The functional is PBE-GGA.

The calculated density is 7.546 Mg/m³. The value obtained for the uncorrected energy is -3.431 eV/atom. As for the volume: 25.907 Å³ per atom.

It has space group C2/c (No. 15), with a = 10.4909 Å, b = 5.9246 Å, c = 8.6323 Å, α = 90.00°, β = 105.05° and γ = 90.00°. The asymmetric unit holds Sr at (0.1480, 0.1476, 0.1483), Hg at (0.0000, 0.3476, 0.7500) and Pd at (0.1365, 0.3595, 0.5047).

---

[3]
This record from Alexandria describes a geometry-optimized SrHg4Pd structure. The functional is PBE-GGA.

The calculated density is 10.706 Mg/m³. For the relative energy among the computed polymorphs, the calculation gives 0.24 eV/f.u. The value obtained for the uncorrected energy is -1.652 eV/atom. As for the volume: 25.757 Å³ per atom.

It has space group P-1 (No. 2), with a = 4.7098 Å, b = 8.3840 Å, c = 8.6218 Å, α = 108.53°, β = 105.83° and γ = 90.14°. The asymmetric unit holds Sr at (0.1687, 0.2574, 0.3399), Hg at (0.0431, 0.8520, 0.0870), Hg at (0.1820, 0.6660, 0.3601), Hg at (0.3260, 0.0512, 0.6520), Hg at (0.4345, 0.6061, 0.8692), Pd at (0.0000, 0.5000, 0.0000) and Pd at (0.5000, 0.0000, 0.0000).

---

[4]
This record from Alexandria describes a geometry-optimized Sr3Hg7Pd2 structure. The functional is PBE-GGA.

The calculated density is 9.503 Mg/m³. The value obtained for the uncorrected energy is -1.894 eV/atom. As for the volume: 27.374 Å³ per atom.

It has space group P2/m (No. 10), with a = 4.7513 Å, b = 4.5127 Å, c = 15.4897 Å, α = 90.00°, β = 98.49° and γ = 90.00°. The asymmetric unit holds Sr at (0.0000, 0.0000, 0.0000), Sr at (0.3272, 0.5000, 0.6539), Hg at (0.0819, 0.5000, 0.1626), Hg at (0.2239, 0.0000, 0.4457), Hg at (0.4182, 0.0000, 0.8345), Hg at (0.5000, 0.5000, 0.0000) and Pd at (0.1320, 0.0000, 0.2699).

---

[5]
This record from Alexandria describes a geometry-optimized Sr4Hg3Pd2 structure. The functional is PBE-GGA.

The calculated density is 7.090 Mg/m³. The value obtained for the uncorrected energy is -2.498 eV/atom. As for the volume: 30.319 Å³ per atom.

It has space group C2/m (No. 12), with a = 17.2296 Å, b = 4.4280 Å, c = 7.6481 Å, α = 90.00°, β = 110.73° and γ = 90.00°. The asymmetric unit holds Sr at (0.0652, 0.0000, 0.3478), Sr at (0.2290, 0.5000, 0.1906), Hg at (0.0000, 0.5000, 0.0000), Hg at (0.1064, 0.5000, 0.7085) and Pd at (0.1064, 0.0000, 0.9604).

---

[6]
This record from Alexandria describes a geometry-optimized Sr3HgPd structure. The functional is PBE-GGA.

The calculated density is 5.280 Mg/m³. For the relative energy among the computed polymorphs, the calculation gives 0.00 eV/f.u. The value obtained for the uncorrected energy is -2.560 eV/atom. As for the volume: 35.845 Å³ per atom.

It has space group P2_1/c (No. 14), with a = 9.9815 Å, b = 8.3261 Å, c = 9.0223 Å, α = 90.00°, β = 107.04° and γ = 90.00°. The asymmetric unit holds Sr at (0.0778, 0.0100, 0.2189), Sr at (0.3097, 0.1572, 0.6221), Sr at (0.3587, 0.6921, 0.5044), Hg at (0.0522, 0.6775, 0.0266) and Pd at (0.4137, 0.0323, 0.3386).